Below is ZnFeI2N after structural relaxation, with properties calculated at the PBE level.

Cell: 5.7684 5.7684 3.7661 Å, 90.00 90.00 90.00°
Closest atoms and distances in Å follow each position.
Atoms (fractional coordinates):
I1 0.0000 0.5000 0.0000  2 Zn 2.88
Fe1 0.5000 0.5000 0.5000  8 I 3.44, 2 Fe 3.77
N1 0.0000 0.0000 0.5000  2 Zn 1.88
I2 0.5000 0.0000 0.0000  2 Zn 2.88
Zn1 0.0000 0.0000 0.0000  2 N 1.88

Calculated values
- distance to the lowest polymorph of the same formula (eV per atom) = 0.588
- raw formation energy (eV per atom) = 0.983
- calculated density (g/cm3) = 5.2
- DFT total energy (eV/atom) = -3.2493